1.
This record from the Open Quantum Materials Database describes a relaxed Co3Os3W2 crystal. The functional is PBE-GGA.

Results
ΔE_f	-0.010	eV/atom

Cell lengths 5.3938, 5.3938, 4.2370 Å; angles 90.00, 90.00, 120.00 degrees
Space group P-6m2 (No. 187)
Symmetry-distinct sites (fractional):
Co (0.0044, 0.5022, 0.0000) (multiplicity 3)
Os (0.3439, 0.1719, 0.5000) (multiplicity 3)
W (0.0000, 0.0000, 0.0000) (multiplicity 1)
W (0.3333, 0.6667, 0.5000) (multiplicity 1)

---

2.
This record from the Open Quantum Materials Database describes a relaxed Ta4CoAuC2 crystal. The functional is PBE-GGA.

Results
final energy	-9.879	eV per atom

Cell lengths 3.1088, 3.1088, 13.4923 Å; angles 90.00, 90.00, 120.00 degrees
Space group P-6m2 (No. 187)
Symmetry-distinct sites (fractional):
Ta (0.0000, 0.0000, 0.1448) (multiplicity 2)
Ta (0.6667, 0.3333, 0.3297) (multiplicity 2)
Co (0.6667, 0.3333, 0.0000) (multiplicity 1)
Au (0.0000, 0.0000, 0.5000) (multiplicity 1)
C (0.3333, 0.6667, 0.2384) (multiplicity 2)

---

3.
This record from the Open Quantum Materials Database describes a relaxed Sm3AlC crystal. The functional is PBE-GGA.

Results
final energy	-5.681	eV per atom

Cell lengths 10.043, 7.080, 7.078 Å; angles 90.00, 90.00, 90.00 degrees
Space group Ima2 (No. 46)
Symmetry-distinct sites (fractional):
Sm (0.000, 0.000, 0.000) (multiplicity 4)
Sm (0.250, 0.225, 0.275) (multiplicity 4)
Sm (0.250, 0.725, 0.225) (multiplicity 4)
Al (0.000, 0.000, 0.502) (multiplicity 4)
C (0.250, 0.000, 0.003) (multiplicity 4)

---

4.
This record from the Open Quantum Materials Database describes a relaxed ZrTa2Ga2 crystal. The functional is PBE-GGA.

Results
final energy	-7.932	eV per atom

Cell lengths 3.904, 3.904, 12.157 Å; angles 90.00, 90.00, 90.00 degrees
Space group I4/mmm (No. 139)
Symmetry-distinct sites (fractional):
Zr (0.000, 0.000, 0.000) (multiplicity 2)
Ta (0.000, 0.500, 0.250) (multiplicity 4)
Ga (0.000, 0.000, 0.403) (multiplicity 4)

---

5.
This record from the Open Quantum Materials Database describes a relaxed HfRe2Ge2 crystal. The functional is PBE-GGA.

Results
final energy	-8.574	eV per atom

Cell lengths 4.373, 4.373, 9.444 Å; angles 90.00, 90.00, 90.00 degrees
Space group I4/mmm (No. 139)
Symmetry-distinct sites (fractional):
Hf (0.000, 0.000, 0.000) (multiplicity 2)
Re (0.000, 0.000, 0.380) (multiplicity 4)
Ge (0.000, 0.500, 0.250) (multiplicity 4)

---

6.
This record from the Open Quantum Materials Database describes a relaxed RbCuSnS3 crystal. The functional is PBE-GGA.

Results
final energy	-4.125	eV per atom

Cell lengths 8.471, 3.903, 9.731 Å; angles 90.00, 111.78, 90.00 degrees
Space group P2_1/m (No. 11)
Symmetry-distinct sites (fractional):
Rb (0.245, 0.250, 0.291) (multiplicity 2)
Cu (0.063, 0.250, 0.582) (multiplicity 2)
Sn (0.321, 0.750, 0.850) (multiplicity 2)
S (0.110, 0.250, 0.836) (multiplicity 2)
S (0.226, 0.750, 0.568) (multiplicity 2)
S (0.453, 0.750, 0.134) (multiplicity 2)

---

7.
This record from the Open Quantum Materials Database describes a relaxed CsDyCd crystal. The functional is PBE-GGA.

Results
final energy	-1.111	eV per atom

Cell lengths 8.062, 8.062, 8.062 Å; angles 90.00, 90.00, 90.00 degrees
Space group F-43m (No. 216)
Symmetry-distinct sites (fractional):
Cs (0.000, 0.000, 0.000) (multiplicity 4)
Dy (0.250, 0.250, 0.250) (multiplicity 4)
Cd (0.250, 0.250, 0.750) (multiplicity 4)

---

8.
This record from the Open Quantum Materials Database describes a relaxed LuBiPd crystal. The functional is PBE-GGA.

Results
final energy	-5.321	eV per atom

Cell lengths 7.6437, 7.6437, 4.0960 Å; angles 90.00, 90.00, 120.00 degrees
Space group P-62m (No. 189)
Symmetry-distinct sites (fractional):
Lu (0.0000, 0.6066, 0.0000) (multiplicity 3)
Bi (0.0000, 0.2719, 0.5000) (multiplicity 3)
Pd (0.0000, 0.0000, 0.0000) (multiplicity 1)
Pd (0.3333, 0.6667, 0.5000) (multiplicity 2)